# 1
# LaNd4Sm2Tm2

A relaxed LaNd4Sm2Tm2 crystal (PBE, Alexandria).

## Properties
N(E_F) = 1.5939 states/eV per atom
Energy of formation from the pure elements = 0.023 eV/atom

```
9
Lattice="5.142 0.000 0.000 -2.571 7.717 -0.006 0.000 -2.556 7.706" Properties=species:S:1:pos:R:3 pbc="T T T"
La 0.000 0.000 0.000
Nd 2.571 2.570 5.164
Nd 0.000 2.591 2.536
Nd 2.571 0.004 2.561
Nd 0.000 5.158 5.139
Sm 2.571 5.142 2.559
Sm 0.000 0.019 5.141
Tm 0.000 5.104 0.007
Tm 2.571 0.058 7.692
```


# 2
# Li2VPd3

A relaxed Li2VPd3 crystal (PBE, Alexandria).

## Properties
N(E_F) = 0.6346 states/eV per atom
Energy of formation from the pure elements = -0.337 eV/atom

```
6
Lattice="2.963 0.000 0.000 0.000 2.963 0.000 0.000 0.000 9.425" Properties=species:S:1:pos:R:3 pbc="T T T"
Li 1.481 1.481 7.959
Li 1.481 1.481 1.466
V 1.481 1.481 4.712
Pd 0.000 0.000 0.000
Pd 0.000 0.000 6.364
Pd 0.000 0.000 3.061
```


# 3
# LiGe2Ir2

A relaxed LiGe2Ir2 crystal (PBE, Alexandria).

## Properties
N(E_F) = 0.4390 states/eV per atom
Energy of formation from the pure elements = -0.352 eV/atom

```
5
Lattice="4.139 0.000 0.000 0.000 4.139 0.000 2.070 2.070 5.122" Properties=species:S:1:pos:R:3 pbc="T T T"
Ge 2.070 2.070 1.249
Ge 4.139 4.139 3.873
Ir 4.139 2.070 2.561
Ir 2.070 4.139 2.561
Li 0.000 0.000 0.000
```


no.,spin magnetization (μB per atom)
1,0.00
2,0.29
3,0.00